This record from Alexandria via LeMat-Bulk describes FeGeF2 after structural relaxation. The functional is PBE with a Hubbard U.

abc: 4.2317 4.2317 4.2317
angles: 60.00 60.00 60.00
Sites, in units of the cell vectors:
Fe 0.0000 0.0000 0.0000
Ge 0.5000 0.5000 0.5000
F 0.2500 0.2500 0.2500
F 0.7500 0.7500 0.7500

Total energy: -4.280 eV per atom
Magnetization: 3.748 μB/f.u.
DOS(E_F): 1.74 states/eV/cell